Entry 1:
This record from the Alexandria database describes TaRuI2 after structural relaxation. The functional is PBE.

a b c (Å): 4.8289 4.8289 4.8289
angles (deg): 60.00 60.00 60.00
With the nearest neighbours (Å) after each atom.
Positions (direct):
I1 0.2500 0.2500 0.2500  4 Ta 2.96, 4 Ru 2.96
I2 0.7500 0.7500 0.7500  4 Ta 2.96, 4 Ru 2.96
Ru1 0.0000 0.0000 0.0000  8 I 2.96
Ta1 0.5000 0.5000 0.5000  8 I 2.96

Properties
- E_form (uncorrected) (kJ per mole of atoms) = 91.4
- D(E_F) (states/eV per cell) = 3.4
- space group = Fm-3m
- calculated total energy (eV/atom) = -5.11

---

Entry 2:
This record from the Alexandria database describes Mg14TiC after structural relaxation. The functional is PBE.

a b c (Å): 6.2797 6.2797 9.7163
angles (deg): 90.00 90.00 120.00
With the nearest neighbours (Å) after each atom.
Positions (direct):
Mg1 0.0117 0.5059 0.0000  10 Mg 3.00-3.25, 2 Ti 3.14
Mg2 0.9916 0.4958 0.5000  10 Mg 2.97-3.22, 2 C 3.14
Mg3 0.4941 0.9883 0.0000  10 Mg 3.00-3.25, 2 Ti 3.14
Mg4 0.5042 0.0084 0.5000  10 Mg 2.97-3.22, 2 C 3.14
Mg5 0.4941 0.5059 0.0000  10 Mg 3.00-3.25, 2 Ti 3.14
Mg6 0.5042 0.4958 0.5000  10 Mg 2.97-3.22, 2 C 3.14
Mg7 0.1548 0.8452 0.2646  1 C 2.84, 8 Mg 2.92-3.17, 1 Ti 3.07
Mg8 0.1548 0.8452 0.7354  1 C 2.84, 8 Mg 2.92-3.17, 1 Ti 3.07
Mg9 0.1548 0.3097 0.2646  1 C 2.84, 8 Mg 2.92-3.17, 1 Ti 3.07
Mg10 0.1548 0.3097 0.7354  1 C 2.84, 8 Mg 2.92-3.17, 1 Ti 3.07
Mg11 0.6903 0.8452 0.2646  1 C 2.84, 8 Mg 2.92-3.17, 1 Ti 3.07
Mg12 0.6903 0.8452 0.7354  1 C 2.84, 8 Mg 2.92-3.17, 1 Ti 3.07
Mg13 0.6667 0.3333 0.2413  12 Mg 3.00-3.15
Mg14 0.6667 0.3333 0.7587  12 Mg 3.00-3.15
Ti1 0.0000 0.0000 0.0000  12 Mg 3.07-3.14
C1 0.0000 0.0000 0.5000  12 Mg 2.84-3.14

Properties
- D(E_F) (states/eV per cell) = 6.6
- space group = P-6m2
- calculated total energy (eV/atom) = -2.17

---

Entry 3:
This record from the Alexandria database describes Tl3F after structural relaxation. The functional is PBE.

a b c (Å): 3.4735 3.4929 9.3238
angles (deg): 90.00 90.00 90.00
With the nearest neighbours (Å) after each atom.
Positions (direct):
Tl1 0.0000 0.5000 0.4680  10 Tl 3.47-3.71
Tl2 0.5000 0.5000 0.1168  4 F 2.68
Tl3 0.5000 0.0000 0.7453  2 F 2.97
F1 0.0000 0.0000 0.0033  6 Tl 2.68-2.97

Properties
- E_form (uncorrected) (kJ per mole of atoms) = -70.7
- D(E_F) (states/eV per cell) = 2.0
- space group = Pmm2
- calculated total energy (eV/atom) = -2.98

---

Entry 4:
This record from the Alexandria database describes TaCdSe after structural relaxation. The functional is PBE.

a b c (Å): 7.7719 7.5813 3.0419
angles (deg): 82.12 75.07 22.81
With the nearest neighbours (Å) after each atom.
Positions (direct):
Cd1 0.0191 0.0191 0.9809  2 Ta 2.93, 4 Cd 3.04
Se1 0.3040 0.3040 0.6960  2 Ta 2.58
Ta1 0.6769 0.6769 0.3231  2 Se 2.58

Properties
- E_form (uncorrected) (kJ per mole of atoms) = 8.0
- D(E_F) (states/eV per cell) = 1.7
- space group = Fmm2
- calculated total energy (eV/atom) = -5.33

---

- Look up the calculated total energy of the fourth one.
  -5.33 eV/atom